First-principles (PBE) data for a geometry-optimized Ba3BN3 structure, as listed in Alexandria via LeMat-Bulk.

Cell: 6.3106 6.3106 6.3106 Å, 114.16 114.16 114.16°
Closest atoms and distances in Å follow each position.
Positions (direct):
Ba1 0.0005 0.4998 0.4998  3 N 2.62-2.71
Ba2 0.4998 0.0005 0.4998  3 N 2.62-2.71
Ba3 0.4998 0.4998 0.0005  3 N 2.62-2.71
B1 0.1976 0.1976 0.1976  3 N 1.54
N1 0.1252 0.1252 0.3761  1 B 1.54
N2 0.1252 0.3761 0.1252  1 B 1.54
N3 0.3761 0.1252 0.1252  1 B 1.54

Properties
**Magnetization**: 0.00 μB/f.u.
**ΔE_f (raw)**: -3.27 eV/f.u.
**Symmetry**: R3m (160)



First-principles (PBE) data for a geometry-optimized TaRh2PbC structure, as listed in Alexandria via LeMat-Bulk.

Cell: 4.6988 4.6988 5.5946 Å, 90.00 90.00 90.00°
Closest atoms and distances in Å follow each position.
Positions (direct):
Ta1 0.0000 0.0000 0.0000  4 Rh 2.35
Rh1 0.0000 0.5000 0.0000  2 Ta 2.35
Rh2 0.5000 0.0000 0.0000  2 Ta 2.35
Pb1 0.0000 0.0000 0.5000  2 Ta 2.80
C1 0.5000 0.5000 0.5000  4 Pb 3.32, 8 Rh 3.65

Properties
**Magnetization**: 1.06 μB/f.u.
**Symmetry**: P4/mmm (123)
**ΔH_f (0 K)**: 2166 meV/atom



First-principles (PBE) data for a geometry-optimized NdEr3Sn3 structure, as listed in Alexandria via LeMat-Bulk.

Cell: 9.1653 9.1653 5.3847 Å, 90.00 90.00 120.00°
Closest atoms and distances in Å follow each position.
Positions (direct):
Nd1 0.3333 0.6667 0.2500  9 Sn 3.33-3.49, 3 Er 3.57
Nd2 0.6667 0.3333 0.7500  9 Sn 3.33-3.49, 3 Er 3.57
Er1 0.0038 0.7664 0.2500  4 Sn 3.01-3.29
Er2 0.2336 0.2374 0.2500  4 Sn 3.01-3.29
Er3 0.2374 0.0038 0.7500  4 Sn 3.01-3.29
Er4 0.7626 0.9962 0.2500  4 Sn 3.01-3.29
Er5 0.7664 0.7626 0.7500  4 Sn 3.01-3.29
Er6 0.9962 0.2336 0.7500  4 Sn 3.01-3.29
Sn1 0.0730 0.6252 0.7500  4 Er 3.01-3.29, 1 Nd 3.33, 2 Sn 3.35
Sn2 0.3748 0.4479 0.7500  4 Er 3.01-3.29, 1 Nd 3.33, 2 Sn 3.35
Sn3 0.4479 0.0730 0.2500  4 Er 3.01-3.29, 1 Nd 3.33, 2 Sn 3.35
Sn4 0.5521 0.9270 0.7500  4 Er 3.01-3.29, 1 Nd 3.33, 2 Sn 3.35
Sn5 0.6252 0.5521 0.2500  4 Er 3.01-3.29, 1 Nd 3.33, 2 Sn 3.35
Sn6 0.9270 0.3748 0.2500  4 Er 3.01-3.29, 1 Nd 3.33, 2 Sn 3.35

Properties
**Magnetization**: 0.00 μB/f.u.
**Symmetry**: P6_3/m (176)
**ΔH_f (0 K)**: -541 meV/atom



First-principles (PBE) data for a geometry-optimized PrAlRh2 structure, as listed in Alexandria via LeMat-Bulk.

Cell: 5.5656 5.5656 5.5656 Å, 45.00 45.00 45.00°
Closest atoms and distances in Å follow each position.
Positions (direct):
Pr1 0.0000 0.0000 0.0000  8 Rh 3.06-3.18
Al1 0.5000 0.5000 0.5000  6 Rh 2.55
Rh1 0.2120 0.2120 0.2120  3 Al 2.55, 3 Rh 2.81
Rh2 0.7880 0.7880 0.7880  3 Al 2.55, 3 Rh 2.81

Properties
**Magnetization**: 0.00 μB/f.u.
**Symmetry**: R-3m (166)
**ΔH_f (0 K)**: -743 meV/atom



First-principles (PBE) data for a geometry-optimized Ca2PrTmSe4 structure, as listed in Alexandria via LeMat-Bulk.

Cell: 7.1988 4.1390 7.2918 Å, 90.00 109.04 90.00°
Closest atoms and distances in Å follow each position.
Positions (direct):
Ca1 0.0000 0.0000 0.0000  6 Se 3.00
Ca2 0.5000 0.5000 0.0000  6 Se 2.90-2.91
Pr1 0.0000 0.5000 0.5000  6 Se 2.99-3.00
Tm1 0.5000 0.0000 0.5000  6 Se 2.90
Se1 0.2623 0.0000 0.7535  1 Tm 2.90, 3 Ca 2.90-3.00, 2 Pr 3.00
Se2 0.2619 0.5000 0.2545  2 Tm 2.90, 3 Ca 2.91-3.00, 1 Pr 2.99
Se3 0.7377 0.0000 0.2465  1 Tm 2.90, 3 Ca 2.90-3.00, 2 Pr 3.00
Se4 0.7381 0.5000 0.7455  2 Tm 2.90, 3 Ca 2.91-3.00, 1 Pr 2.99

Properties
**Magnetization**: 0.00 μB/f.u.
**ΔE_f (raw)**: -14.90 eV/f.u.
**Symmetry**: P2/m (10)



First-principles (PBE) data for a geometry-optimized MgBr structure, as listed in Alexandria via LeMat-Bulk.

Cell: 4.3758 4.3758 6.9881 Å, 90.00 90.00 90.00°
Closest atoms and distances in Å follow each position.
Positions (direct):
Mg1 0.2500 0.7500 0.0000  4 Br 2.99, 4 Mg 3.09
Mg2 0.7500 0.2500 0.0000  4 Br 2.99, 4 Mg 3.09
Br1 0.2500 0.2500 0.2922  4 Mg 2.99
Br2 0.7500 0.7500 0.7078  4 Mg 2.99

Properties
**Magnetization**: 0.00 μB/f.u.
**ΔE_f (raw)**: -0.85 eV/f.u.
**Symmetry**: P4/nmm (129)



First-principles (PBE) data for a geometry-optimized SrThCdAu structure, as listed in Alexandria via LeMat-Bulk.

Cell: 5.4249 5.4249 5.4249 Å, 60.00 60.00 60.00°
Closest atoms and distances in Å follow each position.
Positions (direct):
Sr1 0.0000 0.0000 0.0000  4 Cd 3.32, 4 Au 3.32
Th1 0.5000 0.5000 0.5000  4 Cd 3.32, 4 Au 3.32
Cd1 0.7500 0.7500 0.7500  4 Th 3.32, 4 Sr 3.32
Au1 0.2500 0.2500 0.2500  4 Th 3.32, 4 Sr 3.32

Properties
**Magnetization**: 0.00 μB/f.u.
**Symmetry**: F-43m (216)
**ΔH_f (0 K)**: -305 meV/atom



First-principles (PBE) data for a geometry-optimized Er4MgZn structure, as listed in Alexandria via LeMat-Bulk.

Cell: 3.5421 3.5421 12.7642 Å, 90.00 90.00 90.00°
Closest atoms and distances in Å follow each position.
Positions (direct):
Er1 0.0000 0.0000 0.1376  4 Zn 3.06
Er2 0.0000 0.0000 0.8624  4 Zn 3.06
Er3 0.5000 0.5000 0.3297  4 Mg 3.32, 8 Er 3.51-3.54
Er4 0.5000 0.5000 0.6703  4 Mg 3.32, 8 Er 3.51-3.54
Mg1 0.0000 0.0000 0.5000  8 Er 3.32, 4 Mg 3.54
Zn1 0.5000 0.5000 0.0000  8 Er 3.06

Properties
**Magnetization**: 0.90 μB/f.u.
**Symmetry**: P4/mmm (123)
**ΔH_f (0 K)**: -117 meV/atom